[1]
Computed, not measured: an optimized crystal structure of BaYCu at the GGA-PBE level of DFT.

Properties
E_tot = -4.137 eV per atom
Energy above the most stable polymorph in this dataset = 0.0 meV/atom
Energy of formation from the pure elements = 24 meV/atom
M_tot = 0.000 μB/atom

```
data_BaYCu
_space_group_name_H-M_alt 'I 4 m m'
_space_group_IT_number 107
_space_group_name_Hall 'I 4 -2'
_cell_length_a 3.729
_cell_length_b 3.729
_cell_length_c 13.668
_cell_angle_alpha 90.00
_cell_angle_beta 90.00
_cell_angle_gamma 90.00
loop_
_atom_site_label
_atom_site_fract_x
_atom_site_fract_y
_atom_site_fract_z
Ba1 0.000 0.000 0.000
Y1 0.000 0.000 0.738
Cu1 0.000 0.000 0.332
```


[2]
Computed, not measured: an optimized crystal structure of BaYCu3 at the GGA-PBE level of DFT.

Properties
E_tot = -3.113 eV per atom
Energy above the most stable polymorph in this dataset = 618.3 meV/atom
Energy of formation from the pure elements = 1022 meV/atom
M_tot = 0.000 μB/atom

```
data_BaYCu3
_space_group_name_H-M_alt 'P m -3 m'
_space_group_IT_number 221
_space_group_name_Hall '-P 4 2 3'
_cell_length_a 5.293
_cell_length_b 5.293
_cell_length_c 5.293
_cell_angle_alpha 90.00
_cell_angle_beta 90.00
_cell_angle_gamma 90.00
loop_
_atom_site_label
_atom_site_fract_x
_atom_site_fract_y
_atom_site_fract_z
Ba1 0.000 0.000 0.000
Y1 0.500 0.500 0.500
Cu1 0.000 0.000 0.500
```


[3]
Computed, not measured: an optimized crystal structure of BaYCu3 at the GGA-PBE level of DFT.

Properties
E_tot = -3.731 eV per atom
Energy above the most stable polymorph in this dataset = 0.0 meV/atom
Energy of formation from the pure elements = 404 meV/atom
M_tot = 0.000 μB/atom

```
data_BaYCu3
_space_group_name_H-M_alt 'P m -3 m'
_space_group_IT_number 221
_space_group_name_Hall '-P 4 2 3'
_cell_length_a 5.268
_cell_length_b 5.268
_cell_length_c 5.268
_cell_angle_alpha 90.00
_cell_angle_beta 90.00
_cell_angle_gamma 90.00
loop_
_atom_site_label
_atom_site_fract_x
_atom_site_fract_y
_atom_site_fract_z
Ba1 0.000 0.000 0.000
Y1 0.500 0.500 0.500
Cu1 0.000 0.500 0.500
```


[4]
Computed, not measured: an optimized crystal structure of BaYCu2 at the GGA-PBE level of DFT.

Properties
E_tot = -4.087 eV per atom
Energy above the most stable polymorph in this dataset = 131.0 meV/atom
Energy of formation from the pure elements = 58 meV/atom
M_tot = 0.000 μB/atom

```
data_BaYCu2
_space_group_name_H-M_alt 'I m m 2'
_space_group_IT_number 44
_cell_length_a 4.012
_cell_length_b 4.130
_cell_length_c 13.985
_cell_angle_alpha 90.00
_cell_angle_beta 90.00
_cell_angle_gamma 90.00
loop_
_space_group_symop_operation_xyz
'x,y,z'
'-x,-y,z'
'-x,y,z'
'x,-y,z'
'x+1/2,y+1/2,z+1/2'
'-x+1/2,-y+1/2,z+1/2'
'-x+1/2,y+1/2,z+1/2'
'x+1/2,-y+1/2,z+1/2'
loop_
_atom_site_label
_atom_site_fract_x
_atom_site_fract_y
_atom_site_fract_z
Ba1 0.000 0.000 0.000
Y1 0.000 0.500 0.243
Cu1 0.000 0.000 0.387
Cu2 0.000 0.500 0.784
```


[5]
Computed, not measured: an optimized crystal structure of BaYCu2 at the GGA-PBE level of DFT.

Properties
E_tot = -3.845 eV per atom
Energy above the most stable polymorph in this dataset = 372.8 meV/atom
Energy of formation from the pure elements = 299 meV/atom
M_tot = 0.000 μB/atom

```
data_BaYCu2
_space_group_name_H-M_alt 'I -4 2 d'
_space_group_IT_number 122
_space_group_name_Hall 'I -4 2bw'
_cell_length_a 7.936
_cell_length_b 7.936
_cell_length_c 7.580
_cell_angle_alpha 90.00
_cell_angle_beta 90.00
_cell_angle_gamma 90.00
loop_
_atom_site_label
_atom_site_fract_x
_atom_site_fract_y
_atom_site_fract_z
Ba1 0.000 0.000 0.000
Y1 0.000 0.000 0.500
Cu1 0.210 0.750 0.625
```


[6]
Computed, not measured: an optimized crystal structure of BaYCu2 at the GGA-PBE level of DFT.

Properties
E_tot = -4.041 eV per atom
Energy above the most stable polymorph in this dataset = 177.5 meV/atom
Energy of formation from the pure elements = 104 meV/atom
M_tot = 0.000 μB/atom

```
data_BaYCu2
_space_group_name_H-M_alt 'F m -3 m'
_space_group_IT_number 225
_space_group_name_Hall '-F 4 2 3'
_cell_length_a 7.423
_cell_length_b 7.423
_cell_length_c 7.423
_cell_angle_alpha 90.00
_cell_angle_beta 90.00
_cell_angle_gamma 90.00
loop_
_atom_site_label
_atom_site_fract_x
_atom_site_fract_y
_atom_site_fract_z
Ba1 0.000 0.000 0.000
Y1 0.000 0.000 0.500
Cu1 0.250 0.250 0.250
```


[7]
Computed, not measured: an optimized crystal structure of BaYCu2 at the GGA-PBE level of DFT.

Properties
E_tot = -3.854 eV per atom
Energy above the most stable polymorph in this dataset = 364.4 meV/atom
Energy of formation from the pure elements = 291 meV/atom
M_tot = 0.000 μB/atom

```
data_BaYCu2
_space_group_name_H-M_alt 'I -4 m 2'
_space_group_IT_number 119
_space_group_name_Hall 'I -4 -2'
_cell_length_a 4.298
_cell_length_b 4.298
_cell_length_c 11.108
_cell_angle_alpha 90.00
_cell_angle_beta 90.00
_cell_angle_gamma 90.00
loop_
_atom_site_label
_atom_site_fract_x
_atom_site_fract_y
_atom_site_fract_z
Ba1 0.000 0.000 0.000
Y1 0.000 0.500 0.250
Cu1 0.000 0.000 0.500
Cu2 0.000 0.500 0.750
```


[8]
Computed, not measured: an optimized crystal structure of BaY2Cu2 at the GGA-PBE level of DFT.

Properties
E_tot = -4.576 eV per atom
Energy above the most stable polymorph in this dataset = 0.0 meV/atom
Energy of formation from the pure elements = 33 meV/atom
M_tot = 0.000 μB/atom

```
data_BaY2Cu2
_space_group_name_H-M_alt 'I 4/m m m'
_space_group_IT_number 139
_space_group_name_Hall '-I 4 2'
_cell_length_a 4.924
_cell_length_b 4.924
_cell_length_c 11.602
_cell_angle_alpha 90.00
_cell_angle_beta 90.00
_cell_angle_gamma 90.00
loop_
_atom_site_label
_atom_site_fract_x
_atom_site_fract_y
_atom_site_fract_z
Ba1 0.000 0.000 0.000
Y1 0.000 0.500 0.250
Cu1 0.000 0.000 0.390
```


[9]
Computed, not measured: an optimized crystal structure of BaYCu4 at the GGA-PBE level of DFT.

Properties
E_tot = -4.033 eV per atom
Energy of formation from the pure elements = 95 meV/atom
M_tot = 0.000 μB/atom

```
data_BaYCu4
_space_group_name_H-M_alt 'F -4 3 m'
_space_group_IT_number 216
_space_group_name_Hall 'F -4 2 3'
_cell_length_a 7.749
_cell_length_b 7.749
_cell_length_c 7.749
_cell_angle_alpha 90.00
_cell_angle_beta 90.00
_cell_angle_gamma 90.00
loop_
_atom_site_label
_atom_site_fract_x
_atom_site_fract_y
_atom_site_fract_z
Ba1 0.000 0.000 0.000
Y1 0.250 0.250 0.250
Cu1 0.121 0.121 0.621
```


[10]
Computed, not measured: an optimized crystal structure of BaY2Cu2 at the GGA-PBE level of DFT.

Properties
E_tot = -4.566 eV per atom
Energy above the most stable polymorph in this dataset = 9.9 meV/atom
Energy of formation from the pure elements = 43 meV/atom
M_tot = 0.000 μB/atom

```
data_BaY2Cu2
_space_group_name_H-M_alt 'P 4/m b m'
_space_group_IT_number 127
_space_group_name_Hall '-P 4 2ab'
_cell_length_a 8.286
_cell_length_b 8.286
_cell_length_c 3.909
_cell_angle_alpha 90.00
_cell_angle_beta 90.00
_cell_angle_gamma 90.00
loop_
_atom_site_label
_atom_site_fract_x
_atom_site_fract_y
_atom_site_fract_z
Ba1 0.000 0.000 0.000
Y1 0.153 0.347 0.500
Cu1 0.113 0.613 0.000
```


[11]
Computed, not measured: an optimized crystal structure of BaYCu at the GGA-PBE level of DFT.

Properties
E_tot = -3.994 eV per atom
Energy above the most stable polymorph in this dataset = 143.5 meV/atom
Energy of formation from the pure elements = 167 meV/atom
M_tot = 0.000 μB/atom

```
data_BaYCu
_space_group_name_H-M_alt 'P 3 m 1'
_space_group_IT_number 156
_cell_length_a 4.2188
_cell_length_b 4.2188
_cell_length_c 7.0207
_cell_angle_alpha 90.00
_cell_angle_beta 90.00
_cell_angle_gamma 120.00
loop_
_space_group_symop_operation_xyz
'x,y,z'
'-y,x-y,z'
'-x+y,-x,z'
'-y,-x,z'
'-x+y,y,z'
'x,x-y,z'
loop_
_atom_site_label
_atom_site_fract_x
_atom_site_fract_y
_atom_site_fract_z
Ba1 0.0000 0.0000 0.0000
Y1 0.3333 0.6667 0.5059
Cu1 0.6667 0.3333 0.3111
```


[12]
Computed, not measured: an optimized crystal structure of BaY4Cu at the GGA-PBE level of DFT.

Properties
E_tot = -4.712 eV per atom
Energy of formation from the pure elements = 600 meV/atom
M_tot = 0.001 μB/atom

```
data_BaY4Cu
_space_group_name_H-M_alt 'F -4 3 m'
_space_group_IT_number 216
_space_group_name_Hall 'F -4 2 3'
_cell_length_a 9.429
_cell_length_b 9.429
_cell_length_c 9.429
_cell_angle_alpha 90.00
_cell_angle_beta 90.00
_cell_angle_gamma 90.00
loop_
_atom_site_label
_atom_site_fract_x
_atom_site_fract_y
_atom_site_fract_z
Ba1 0.000 0.000 0.000
Y1 0.124 0.124 0.376
Cu1 0.250 0.250 0.750
```


[13]
Computed, not measured: an optimized crystal structure of BaYCu at the GGA-PBE level of DFT.

Properties
E_tot = -3.853 eV per atom
Energy above the most stable polymorph in this dataset = 284.0 meV/atom
Energy of formation from the pure elements = 308 meV/atom
M_tot = 0.000 μB/atom

```
data_BaYCu
_space_group_name_H-M_alt 'F -4 3 m'
_space_group_IT_number 216
_space_group_name_Hall 'F -4 2 3'
_cell_length_a 7.394
_cell_length_b 7.394
_cell_length_c 7.394
_cell_angle_alpha 90.00
_cell_angle_beta 90.00
_cell_angle_gamma 90.00
loop_
_atom_site_label
_atom_site_fract_x
_atom_site_fract_y
_atom_site_fract_z
Ba1 0.000 0.000 0.000
Y1 0.000 0.000 0.500
Cu1 0.250 0.250 0.250
```